Entry A
The following is a DFT calculation (PBE) of a geometry-optimized LaEr3Ga2 structure.

Cell: 16.0138 5.1608 8.8542 Å, 90.00 117.31 90.00°
Last column: nearest neighbours and their distance in Å.
Space group C2/m (No. 12)
Inequivalent atoms, fractional coordinates:
La (0.1326, 0.0000, 0.1916) [4 per cell]  5 Ga 3.14-3.36, 2 Er 3.49
Er (0.0645, 0.0000, 0.7161) [4 per cell]  3 Ga 3.05-3.30, 1 Er 3.41
Er (0.1192, 0.5000, 0.5099) [4 per cell]  3 Ga 2.84-2.98
Er (0.1872, 0.5000, 0.9868) [4 per cell]  2 Ga 2.84-3.13
Ga (0.0118, 0.5000, 0.1505) [4 per cell]  1 Ga 2.51
Ga (0.2231, 0.0000, 0.6155) [4 per cell]  5 Er 2.98-3.19

***

Entry B
The following is a DFT calculation (PBE) of a geometry-optimized LaEr3Ga2 structure.

Cell: 4.9726 9.5971 6.5970 Å, 90.00 90.00 90.00°
Last column: nearest neighbours and their distance in Å.
Space group Pmc2_1 (No. 26)
Inequivalent atoms, fractional coordinates:
La (0.0000, 0.0482, 0.0000) [2 per cell]  5 Ga 3.16-3.49, 2 La 3.43, 2 Er 3.43
Er (0.0000, 0.3275, 0.6248) [2 per cell]  4 Ga 2.97-3.13
Er (0.5000, 0.1930, 0.2894) [2 per cell]  4 Ga 3.01-3.27
Er (0.5000, 0.4461, 0.9209) [2 per cell]  3 Ga 3.08-3.11, 3 Er 3.36-3.44
Ga (0.0000, 0.3640, 0.1684) [2 per cell]  6 Er 2.97-3.08, 1 La 3.23
Ga (0.5000, 0.1462, 0.7402) [2 per cell]  5 Er 3.01-3.27, 2 La 3.16

***

The most stable structure shown above is entry B; the least stable is entry A.